1.
Below is Ca2YCr at its PBEsol-relaxed geometry, with properties calculated at the meta-GGA SCAN level.

Calculated values
**E above lowest polymorph**: 8.2 kJ per mole of atoms
**Calculated total energy**: -0.589 hartree per atom
**DFT formation energy**: 35.4 kJ/mol of atoms

a b c (Å): 3.439 5.485 6.324
angles (deg): 90.00 100.29 90.00
Sites, in units of the cell vectors:
1 Cr 0.500 0.500 0.000
2 Y 0.000 0.500 0.500
3 Ca 0.708 0.000 0.762
4 Ca 0.292 0.000 0.238

---

2.
Below is Al3Re at its PBEsol-relaxed geometry, with properties calculated at the meta-GGA SCAN level.

Calculated values
**Calculated total energy**: -0.871 hartree per atom
**DFT formation energy**: -11.0 kJ/mol of atoms

a b c (Å): 3.871 3.871 3.871
angles (deg): 90.00 90.00 90.00
Sites, in units of the cell vectors:
1 Al 0.000 0.500 0.500
2 Al 0.500 0.000 0.500
3 Al 0.500 0.500 0.000
4 Re 0.000 0.000 0.000

---

3.
Below is Ca3GeF at its PBEsol-relaxed geometry, with properties calculated at the meta-GGA SCAN level.

Calculated values
**Calculated total energy**: -0.428 hartree per atom

a b c (Å): 4.747 4.747 4.747
angles (deg): 90.00 90.00 90.00
Sites, in units of the cell vectors:
1 Ca 0.000 0.500 0.000
2 Ca 0.000 0.000 0.500
3 Ca 0.500 0.000 0.000
4 Ge 0.500 0.500 0.500
5 F 0.000 0.000 0.000

---

4.
Below is Li2VCrO4 at its PBEsol-relaxed geometry, with properties calculated at the meta-GGA SCAN level.

Calculated values
**E above lowest polymorph**: 0.2 kJ per mole of atoms
**Calculated total energy**: -0.394 hartree per atom

a b c (Å): 5.043 5.870 7.605
angles (deg): 78.95 71.38 90.03
Sites, in units of the cell vectors:
1 Li 0.001 0.415 0.833
2 Li 0.001 0.254 0.499
3 Li 0.999 0.092 0.168
4 Li 0.999 0.585 0.167
5 Li 0.999 0.746 0.501
6 Li 0.001 0.908 0.832
7 V 0.500 0.845 0.164
8 V 0.500 0.000 0.500
9 V 0.500 0.155 0.836
10 O 0.275 0.375 0.995
11 O 0.726 0.295 0.340
12 O 0.271 0.212 0.660
13 O 0.269 0.054 0.327
14 O 0.274 0.705 0.660
15 O 0.276 0.549 0.326
16 O 0.725 0.625 0.005
17 O 0.729 0.788 0.340
18 O 0.267 0.868 0.992
19 O 0.733 0.132 0.008
20 O 0.724 0.451 0.674
21 O 0.731 0.946 0.673
22 Cr 0.499 0.659 0.833
23 Cr 0.501 0.341 0.167
24 Cr 0.500 0.500 0.500

---

5.
Below is YTa2I at its PBEsol-relaxed geometry, with properties calculated at the meta-GGA SCAN level.

Calculated values
**Calculated total energy**: -1.775 hartree per atom

a b c (Å): 4.889 4.889 4.889
angles (deg): 60.00 60.00 60.00
Sites, in units of the cell vectors:
1 Ta 0.250 0.250 0.250
2 Ta 0.750 0.750 0.750
3 Y 0.000 0.000 0.000
4 I 0.500 0.500 0.500

---

6.
Below is Li2RhN at its PBEsol-relaxed geometry, with properties calculated at the meta-GGA SCAN level.

Calculated values
**Calculated total energy**: -0.450 hartree per atom

a b c (Å): 3.710 5.653 5.653
angles (deg): 83.82 70.84 70.84
Sites, in units of the cell vectors:
1 Li 0.480 0.645 0.145
2 Li 0.270 0.355 0.855
3 Li 0.375 0.145 0.355
4 Li 0.875 0.855 0.645
5 Rh 0.000 0.000 0.000
6 Rh 0.750 0.500 0.500
7 N 0.250 0.500 0.500
8 N 0.500 0.000 0.000

---

7.
Below is Zn2TcSeF at its PBEsol-relaxed geometry, with properties calculated at the meta-GGA SCAN level.

Calculated values
**Calculated total energy**: -0.619 hartree per atom

a b c (Å): 4.230 4.230 4.394
angles (deg): 90.00 90.00 90.00
Sites, in units of the cell vectors:
1 Tc 0.000 0.000 0.500
2 Se 0.500 0.500 0.500
3 Zn 0.500 0.000 0.000
4 Zn 0.000 0.500 0.000
5 F 0.000 0.000 0.000

---

8.
Below is Tl2SnHgTe4 at its PBEsol-relaxed geometry, with properties calculated at the meta-GGA SCAN level.

Calculated values
**Calculated total energy**: -1.835 hartree per atom

a b c (Å): 6.880 6.880 6.880
angles (deg): 105.38 105.38 118.00
Sites, in units of the cell vectors:
1 Te 0.055 0.430 0.000
2 Te 0.430 0.055 0.000
3 Te 0.945 0.945 0.376
4 Te 0.570 0.570 0.624
5 Hg 0.500 0.500 0.000
6 Tl 0.500 0.000 0.500
7 Tl 0.000 0.500 0.500
8 Sn 0.000 0.000 0.000

---

9.
Below is In2SiAu at its PBEsol-relaxed geometry, with properties calculated at the meta-GGA SCAN level.

Calculated values
**Calculated total energy**: -1.339 hartree per atom

a b c (Å): 3.548 3.548 8.046
angles (deg): 77.26 77.26 60.00
Sites, in units of the cell vectors:
1 Au 0.239 0.239 0.283
2 In 0.991 0.991 0.026
3 In 0.759 0.759 0.724
4 Si 0.511 0.511 0.467

---

10.
Below is InB3S at its PBEsol-relaxed geometry, with properties calculated at the meta-GGA SCAN level.

Calculated values
**Calculated total energy**: -0.419 hartree per atom

a b c (Å): 3.919 3.919 3.919
angles (deg): 90.00 90.00 90.00
Sites, in units of the cell vectors:
1 B 0.000 0.000 0.500
2 B 0.000 0.500 0.000
3 B 0.500 0.000 0.000
4 In 0.500 0.500 0.500
5 S 0.000 0.000 0.000

---

11.
Below is LaZnRe at its PBEsol-relaxed geometry, with properties calculated at the meta-GGA SCAN level.

Calculated values
**E above lowest polymorph**: 0.0 kJ per mole of atoms
**Calculated total energy**: -1.547 hartree per atom
**DFT formation energy**: 46.5 kJ/mol of atoms

a b c (Å): 2.875 2.875 7.090
angles (deg): 101.70 101.70 90.00
Sites, in units of the cell vectors:
1 Re 0.685 0.685 0.369
2 Zn 0.314 0.314 0.628
3 La 0.001 0.001 0.002

---

12.
Below is MgMo2O4 at its PBEsol-relaxed geometry, with properties calculated at the meta-GGA SCAN level.

Calculated values
**Calculated total energy**: -0.599 hartree per atom

a b c (Å): 5.762 5.773 16.093
angles (deg): 89.58 91.52 60.11
Sites, in units of the cell vectors:
1 Mg 0.199 0.118 0.666
2 Mg 0.104 0.252 0.299
3 Mg 0.493 0.486 0.371
4 Mg 0.457 0.558 0.015
5 Mg 0.860 0.882 0.982
6 Mg 0.530 0.453 0.624
7 O 0.513 0.990 0.754
8 O 0.683 0.112 0.412
9 O 0.241 0.121 0.905
10 O 0.176 0.126 0.406
11 O 0.708 0.138 0.889
12 O 0.854 0.790 0.545
13 O 0.200 0.655 0.914
14 O 0.959 0.537 0.226
15 O 0.751 0.619 0.924
16 O 0.032 0.475 0.737
17 O 0.780 0.866 0.094
18 O 0.752 0.398 0.101
19 O 0.297 0.407 0.094
20 O 0.553 0.463 0.748
21 O 0.056 0.972 0.763
22 O 0.130 0.654 0.407
23 O 0.467 0.524 0.249
24 O 0.341 0.820 0.580
25 O 0.957 0.058 0.255
26 O 0.265 0.907 0.085
27 O 0.694 0.654 0.407
28 O 0.440 0.060 0.256
29 O 0.344 0.273 0.578
30 O 0.887 0.271 0.579
31 Mo 0.474 0.981 0.491
32 Mo 0.035 0.981 0.491
33 Mo 0.420 0.764 0.833
34 Mo 0.338 0.347 0.825
35 Mo 0.871 0.779 0.820
36 Mo 0.891 0.330 0.828
37 Mo 0.117 0.743 0.174
38 Mo 0.637 0.170 0.176
39 Mo 0.064 0.257 0.021
40 Mo 0.585 0.746 0.175
41 Mo 0.810 0.844 0.310
42 Mo 0.035 0.421 0.490